Compound: Tl2TcO4
Source: Alexandria
Functional: PBE-GGA
Structure: relaxed

Geometry as POSCAR:
```
Tl2TcO4
1.0
8.7577 0.0000 0.0000
0.0000 9.3907 0.0000
-4.3665 0.0000 4.6406
Tl Tc O
4 2 8
direct
0.0000 0.2498 0.0000
0.0000 0.7502 0.0000
0.5000 0.2502 0.0000
0.5000 0.7498 0.0000
0.4986 0.0000 0.5000
0.9986 0.5000 0.5000
0.0381 0.5000 0.8156
0.1158 0.3434 0.5008
0.1158 0.6566 0.5008
0.2239 0.0000 0.1830
0.5381 0.0000 0.8156
0.6158 0.1566 0.5008
0.6158 0.8434 0.5008
0.7239 0.5000 0.1830
```

Values from the calculation:
**Symmetry**: Cm, No. 8
**M_tot**: 2.0 μB per cell
**Energy relative to the lowest polymorph listed for this composition**: 0.5 kJ per mole of atoms
**Energy relative to the elements, uncorrected**: -1121 meV/atom